1.
KBa2SrPt | GGA-PBE | optimized geometry

a b c (Å): 6.259 6.259 6.592
angles (deg): 90.00 90.00 90.00
Fractional positions:
Ba1 0.500 0.000 0.000
Ba2 0.000 0.500 0.000
Sr1 0.500 0.500 0.500
K1 0.000 0.000 0.500
Pt1 0.000 0.000 0.000

Summary:
**VASP energy**: -2.7352 eV per atom
**ΔE_f**: -19.50 kJ/mol of atoms
**Energy above the most stable polymorph in this dataset**: 0.921 eV per formula unit
**Density**: 3.8 g/cm³
**Volume**: 258.2 Å³/f.u.



2.
TiNb3O | GGA-PBE | optimized geometry

a b c (Å): 4.680 4.680 4.680
angles (deg): 90.00 90.00 90.00
Fractional positions:
Ti1 0.000 0.000 0.000
O1 0.500 0.500 0.500
Nb1 0.000 0.000 0.500
Nb2 0.500 0.000 0.000
Nb3 0.000 0.500 0.000

Summary:
**VASP energy**: -6.9521 eV per atom
**Formation energy from raw total energies**: 8.3 eV/f.u.
**Energy above the most stable polymorph in this dataset**: 11.625 eV per formula unit
**Density**: 5.6 g/cm³
**Volume**: 102.5 Å³/f.u.